# BaNb2TlO7

An optimized crystal structure of BaNb2TlO7 (PBE, the Alexandria database).

Its density is 6.07 g/cm3. For the uncorrected formation energy, the calculation gives -25.29 eV/f.u. The calculation puts the final energy at -7.675 eV per atom.

It has space group I-4m2 (No. 119), with a = 4.036 Å, b = 4.036 Å, c = 21.483 Å, α = 90.00°, β = 90.00° and γ = 90.00°. The inequivalent atoms are Ba at (0.000, 0.000, 0.000), Nb at (0.000, 0.000, 0.398), Tl at (0.000, 0.500, 0.250), O at (0.000, 0.000, 0.308), O at (0.000, 0.000, 0.500), O at (0.000, 0.500, 0.096) and O at (0.000, 0.500, 0.592).